Record 1
Density functional theory data (PBE) for CsCa2YPd after structural relaxation.

Computed properties:
Density of states at the Fermi level: 4.24 states/eV per cell
Density: 3.45 Mg/m³
Formation enthalpy at 0 K: -0.108 eV/atom
Space group: P4/mmm, No. 123
Magnetization: 0.00 μB/atom
DFT total energy: -17.05 eV for the cell shown

```
CsCa2YPd
1.0
-4.4473 2.4344 3.1181
2.0034 -2.6593 4.9337
3.1784 4.4129 1.0880
Ca Pd Cs Y
2 1 1 1
direct
0.0000 0.5000 0.0000
0.5000 0.0000 0.0000
0.0000 0.0000 0.0000
0.5000 0.5000 0.5000
0.0000 0.0000 0.5000
```

***

Record 2
Density functional theory data (PBE) for Cs3CaPm2S6 after structural relaxation.

Computed properties:
Density of states at the Fermi level: 12.58 states/eV per cell
Density: 4.08 Mg/m³
Space group: C2/m, No. 12
Magnetization: 0.00 μB/atom
DFT total energy: -58.40 eV for the cell shown

```
Cs3CaPm2S6
1.0
7.3304 -0.0016 0.0011
-3.6648 6.3485 0.0011
-1.2213 -2.1147 8.0597
Cs Ca Pm S
3 1 2 6
direct
0.8355 0.1645 0.5000
0.5000 0.5000 0.5000
0.1645 0.8355 0.5000
0.0000 0.0000 0.0000
0.3332 0.6668 0.0000
0.6668 0.3332 0.0000
0.5985 0.9380 0.8138
0.0620 0.4015 0.1862
0.2775 0.2775 0.8150
0.9380 0.5985 0.8138
0.7225 0.7225 0.1850
0.4015 0.0620 0.1862
```

***

Record 3
Density functional theory data (PBE) for Cs3CaPm2Se6 after structural relaxation.

Computed properties:
Density of states at the Fermi level: 10.96 states/eV per cell
Density: 4.77 Mg/m³
Space group: C2/m, No. 12
Magnetization: 0.00 μB/atom
DFT total energy: -53.93 eV for the cell shown

```
Cs3CaPm2Se6
1.0
7.5928 -0.0011 0.0007
-3.7955 6.5761 0.0007
-1.2657 -2.1916 8.3918
Cs Se Pm Ca
3 6 2 1
direct
0.8352 0.1648 0.5000
0.1648 0.8352 0.5000
0.5000 0.5000 0.5000
0.0632 0.4021 0.1898
0.7243 0.7243 0.1889
0.5979 0.9368 0.8102
0.2757 0.2757 0.8111
0.9368 0.5979 0.8102
0.4021 0.0632 0.1898
0.6668 0.3332 0.0000
0.3332 0.6668 0.0000
0.0000 0.0000 0.0000
```

***

Record 4
Density functional theory data (PBE) for CsCa2Pr after structural relaxation.

Computed properties:
Density of states at the Fermi level: 6.99 states/eV per cell
Density: 2.95 Mg/m³
Formation enthalpy at 0 K: 0.200 eV/atom
Space group: P4/mmm, No. 123
Magnetization: 0.16 μB/atom
DFT total energy: -8.84 eV for the cell shown

```
CsCa2Pr
1.0
-0.9440 3.0985 -2.4599
-1.1056 -2.6348 -2.8946
-11.2495 -0.0093 4.3054
Ca Cs Pr
2 1 1
direct
0.0000 0.0000 0.8022
0.0000 0.0000 0.1978
0.5000 0.5000 0.5000
0.5000 0.5000 0.0000
```

***

Record 5
Density functional theory data (PBE) for CsCaPt2 after structural relaxation.

Computed properties:
Density of states at the Fermi level: 6.56 states/eV per cell
Density: 9.06 Mg/m³
Formation enthalpy at 0 K: 0.108 eV/atom
Space group: Fm-3m, No. 225
Magnetization: 0.00 μB/atom
DFT total energy: -14.51 eV for the cell shown

```
CsCaPt2
1.0
0.0000 3.7235 3.7235
3.7235 0.0000 3.7235
3.7235 3.7235 0.0000
Cs Pt Ca
1 2 1
direct
0.5000 0.5000 0.5000
0.7500 0.7500 0.7500
0.2500 0.2500 0.2500
0.0000 0.0000 0.0000
```

***

Record 6
Density functional theory data (PBE) for CsCaPt3 after structural relaxation.

Computed properties:
Density of states at the Fermi level: 14.41 states/eV per cell
Density: 8.60 Mg/m³
Formation enthalpy at 0 K: 1.252 eV/atom
Space group: Pm-3m, No. 221
Magnetization: 0.00 μB/atom
DFT total energy: -14.72 eV for the cell shown

```
CsCaPt3
1.0
-1.9199 -4.7397 -1.2763
2.6276 -2.1500 4.0314
-4.1460 0.8322 3.1461
Cs Pt Ca
1 3 1
direct
0.0000 0.0000 0.0000
0.0000 0.0000 0.5000
0.0000 0.5000 0.0000
0.5000 0.0000 0.0000
0.5000 0.5000 0.5000
```

***

Record 7
Density functional theory data (PBE) for CsCaPt4 after structural relaxation.

Computed properties:
Density of states at the Fermi level: 2.89 states/eV per cell
Density: 12.81 Mg/m³
Formation enthalpy at 0 K: -0.377 eV/atom
Space group: F-43m, No. 216
Magnetization: 0.00 μB/atom
DFT total energy: -29.28 eV for the cell shown

```
CsCaPt4
1.0
-0.2678 -0.4090 5.5690
3.2818 -3.6345 2.6968
4.2322 1.8562 3.1458
Pt Ca Cs
4 1 1
direct
0.6256 0.6256 0.1233
0.6256 0.1233 0.6256
0.6256 0.6256 0.6256
0.1233 0.6256 0.6256
0.0000 0.0000 0.0000
0.2500 0.2500 0.2500
```

***

Record 8
Density functional theory data (PBE) for CsCaPt3 after structural relaxation.

Computed properties:
Density of states at the Fermi level: 2.95 states/eV per cell
Density: 8.46 Mg/m³
Formation enthalpy at 0 K: 0.708 eV/atom
Space group: Pm-3m, No. 221
Magnetization: 0.00 μB/atom
DFT total energy: -17.44 eV for the cell shown

```
CsCaPt3
1.0
-1.6540 -0.0964 5.0339
-0.5528 -5.2631 -0.2825
5.0044 -0.6132 1.6326
Pt Cs Ca
3 1 1
direct
0.0000 0.0000 0.5000
0.5000 0.0000 0.0000
0.0000 0.5000 0.0000
0.5000 0.5000 0.5000
0.0000 0.0000 0.0000
```

***

Record 9
Density functional theory data (PBE) for Cs2CaPt2 after structural relaxation.

Computed properties:
Density of states at the Fermi level: 2.73 states/eV per cell
Density: 6.91 Mg/m³
Formation enthalpy at 0 K: -0.073 eV/atom
Space group: P4/mbm, No. 127
Magnetization: 0.00 μB/atom
DFT total energy: -32.31 eV for the cell shown

```
Cs2CaPt2
1.0
-5.9093 1.1446 -4.6236
-2.3921 -7.0842 1.3035
-3.1526 1.8921 4.4976
Cs Ca Pt
4 2 4
direct
0.6712 0.8288 0.5000
0.3288 0.1712 0.5000
0.1712 0.6712 0.5000
0.8288 0.3288 0.5000
0.5000 0.5000 0.0000
0.0000 0.0000 0.0000
0.3776 0.8776 0.0000
0.1224 0.3776 0.0000
0.8776 0.6224 0.0000
0.6224 0.1224 0.0000
```

***

Record 10
Density functional theory data (PBE) for CsCa2Pt2 after structural relaxation.

Computed properties:
Density of states at the Fermi level: 3.51 states/eV per cell
Density: 7.38 Mg/m³
Formation enthalpy at 0 K: -0.465 eV/atom
Space group: P4/mbm, No. 127
Magnetization: 0.00 μB/atom
DFT total energy: -38.53 eV for the cell shown

```
CsCa2Pt2
1.0
-2.2897 7.5181 3.6414
-8.1785 -2.7865 0.6105
0.7106 -1.3687 3.2726
Pt Ca Cs
4 4 2
direct
0.3613 0.8613 0.0000
0.1387 0.3613 0.0000
0.8613 0.6387 0.0000
0.6387 0.1387 0.0000
0.3593 0.1407 0.5000
0.1407 0.6407 0.5000
0.8593 0.3593 0.5000
0.6407 0.8593 0.5000
0.5000 0.5000 0.0000
0.0000 0.0000 0.0000
```

***

Record 11
Density functional theory data (PBE) for CsCa3Pt after structural relaxation.

Computed properties:
Density of states at the Fermi level: 13.40 states/eV per cell
Density: 4.26 Mg/m³
Formation enthalpy at 0 K: 1.368 eV/atom
Space group: Pm-3m, No. 221
Magnetization: 0.00 μB/atom
DFT total energy: -6.06 eV for the cell shown

```
CsCa3Pt
1.0
5.5910 0.0000 0.0000
0.0000 5.5910 0.0000
0.0000 0.0000 5.5910
Ca Pt Cs
3 1 1
direct
0.0000 0.0000 0.5000
0.5000 0.0000 0.0000
0.0000 0.5000 0.0000
0.5000 0.5000 0.5000
0.0000 0.0000 0.0000
```

***

Record 12
Density functional theory data (PBE) for CsCa3Pt after structural relaxation.

Computed properties:
Density of states at the Fermi level: 3.93 states/eV per cell
Density: 3.71 Mg/m³
Formation enthalpy at 0 K: -0.336 eV/atom
Space group: Pm-3m, No. 221
Magnetization: 0.00 μB/atom
DFT total energy: -14.58 eV for the cell shown

```
CsCa3Pt
1.0
-4.5379 -1.7843 -3.2374
2.7341 -5.0700 -1.0380
-2.4879 -2.3171 4.7644
Pt Ca Cs
1 3 1
direct
0.0000 0.0000 0.0000
0.0000 0.5000 0.0000
0.5000 0.0000 0.0000
0.0000 0.0000 0.5000
0.5000 0.5000 0.5000
```